Ac3Pr3TlAg2 | GGA-PBE | optimized geometry Values from VASP.

Geometry as Quantum ESPRESSO input:
```
&SYSTEM
  ibrav = 0, nat = 9, ntyp = 4
/
ATOMIC_SPECIES
Ac 227.00 Ac.upf
Pr 140.91 Pr.upf
Tl 204.38 Tl.upf
Ag 107.87 Ag.upf
ATOMIC_POSITIONS crystal
Ac 0.500 0.723 0.000
Ac 0.500 0.000 0.723
Ac 0.500 0.277 0.277
Pr 0.000 0.598 0.598
Pr 0.000 0.000 0.402
Pr 0.000 0.402 0.000
Tl 0.000 0.000 0.000
Ag 0.500 0.667 0.333
Ag 0.500 0.333 0.667
CELL_PARAMETERS angstrom
-1.563 -1.890 -4.311
-1.549 -7.428 3.818
-6.076 5.923 -0.392
```

Summary:
- DFT formation energy: -0.747 eV/f.u.
- Calculated total energy: -3.94 eV/atom
- Symmetry: P-62m
- ρ: 8.164 g/cm3